Crystalline Zr2BeO4 at its relaxed geometry, computed with PBE. Values from VASP.

Quantum ESPRESSO input file:
```
&SYSTEM
  ibrav = 0, nat = 14, ntyp = 3
/
ATOMIC_SPECIES
Zr 91.22 Zr.upf
Be 9.01 Be.upf
O 16.00 O.upf
CELL_PARAMETERS angstrom
0.0000 4.2490 4.2490
4.2490 0.0000 4.2490
4.2490 4.2490 0.0000
ATOMIC_POSITIONS angstrom
Zr 0.0000 0.0000 0.0000
Zr 2.1245 2.1245 0.0000
Zr 2.1245 0.0000 2.1245
Zr 0.0000 2.1245 2.1245
Be 3.1868 3.1868 3.1868
Be 5.3113 5.3113 5.3113
O 2.2117 2.2117 2.2117
O 4.1618 4.1618 2.2117
O 4.1618 2.2117 4.1618
O 6.2863 4.3363 4.3363
O 2.2117 4.1618 4.1618
O 4.3363 6.2863 4.3363
O 4.3363 4.3363 6.2863
O 6.2863 6.2863 6.2863
```

=====

Crystalline ZrBeO2 at its relaxed geometry, computed with PBE. Values from VASP.

Quantum ESPRESSO input file:
```
&SYSTEM
  ibrav = 0, nat = 4, ntyp = 3
/
ATOMIC_SPECIES
Zr 91.22 Zr.upf
Be 9.01 Be.upf
O 16.00 O.upf
CELL_PARAMETERS angstrom
2.7438 0.0000 0.0000
0.0000 2.7438 0.0000
0.0000 0.0000 6.2865
ATOMIC_POSITIONS angstrom
Zr 0.0000 0.0000 0.0000
Be 1.3719 1.3719 3.1433
O 0.0000 0.0000 2.0137
O 0.0000 0.0000 4.2728
```

=====

Crystalline BeOs5 at its relaxed geometry, computed with PBE. Values from VASP.

Quantum ESPRESSO input file:
```
&SYSTEM
  ibrav = 0, nat = 6, ntyp = 2
/
ATOMIC_SPECIES
Be 9.01 Be.upf
Os 190.23 Os.upf
CELL_PARAMETERS angstrom
4.9401 0.0000 0.0000
-2.4701 4.2783 0.0000
0.0000 0.0000 4.6202
ATOMIC_POSITIONS angstrom
Be 0.0000 0.0000 0.0000
Os -1.2350 2.1391 2.3101
Os 0.0000 2.8522 0.0000
Os 2.4701 0.0000 2.3101
Os 1.2350 2.1391 2.3101
Os 2.4701 1.4261 0.0000
```

=====

Crystalline Be2Os3 at its relaxed geometry, computed with PBE. Values from VASP.

Quantum ESPRESSO input file:
```
&SYSTEM
  ibrav = 0, nat = 10, ntyp = 2
/
ATOMIC_SPECIES
Be 9.01 Be.upf
Os 190.23 Os.upf
CELL_PARAMETERS angstrom
6.3223 0.0000 0.0000
0.0000 6.3223 0.0000
0.0000 0.0000 2.8848
ATOMIC_POSITIONS angstrom
Be 0.8000 2.3611 0.0000
Be 2.3611 5.5222 0.0000
Be 3.9611 0.8000 0.0000
Be 5.5222 3.9611 0.0000
Os 0.0000 0.0000 0.0000
Os 1.0479 4.2090 1.4424
Os 2.1132 1.0479 1.4424
Os 3.1611 3.1611 0.0000
Os 4.2090 5.2744 1.4424
Os 5.2744 2.1132 1.4424
```

=====

Number 1: uncorrected energy -59.67 eV/f.u.. Number 2: uncorrected energy -25.67 eV/f.u.. Number 3: uncorrected energy -53.78 eV/f.u.. Number 4: uncorrected energy -41.26 eV/f.u..